# 1
# RbYHfO2 (PBE, optimized geometry)
data_RbYHfO2
_space_group_name_H-M_alt 'P 1'
_space_group_IT_number 1
_space_group_name_Hall 'P 1'
_cell_length_a 4.564
_cell_length_b 4.564
_cell_length_c 6.116
_cell_angle_alpha 90.00
_cell_angle_beta 90.00
_cell_angle_gamma 90.00
loop_
_atom_site_label
_atom_site_fract_x
_atom_site_fract_y
_atom_site_fract_z
Rb1 0.000 0.000 0.000
Y1 0.500 0.500 0.500
Hf1 0.500 0.500 0.000
O1 0.000 0.500 0.500
O2 0.500 0.000 0.500
# Space-group type: P4/mmm

# 2
# HfRe3O (PBE, optimized geometry)
data_HfRe3O
_space_group_name_H-M_alt 'P 1'
_space_group_IT_number 1
_space_group_name_Hall 'P 1'
_cell_length_a 4.824
_cell_length_b 4.824
_cell_length_c 4.824
_cell_angle_alpha 90.00
_cell_angle_beta 90.00
_cell_angle_gamma 90.00
loop_
_atom_site_label
_atom_site_fract_x
_atom_site_fract_y
_atom_site_fract_z
Hf1 0.000 0.000 0.000
Re1 0.000 0.000 0.500
Re2 0.000 0.500 0.000
Re3 0.500 0.000 0.000
O1 0.500 0.500 0.500
# Relative energy among the computed polymorphs (eV/f.u.): 15.71
# Space-group type: Pm-3m

# 3
# Hf3ReO (PBE, optimized geometry)
data_Hf3ReO
_space_group_name_H-M_alt 'P 1'
_space_group_IT_number 1
_space_group_name_Hall 'P 1'
_cell_length_a 5.024
_cell_length_b 5.024
_cell_length_c 5.024
_cell_angle_alpha 90.00
_cell_angle_beta 90.00
_cell_angle_gamma 90.00
loop_
_atom_site_label
_atom_site_fract_x
_atom_site_fract_y
_atom_site_fract_z
Hf1 0.000 0.000 0.500
Hf2 0.000 0.500 0.000
Hf3 0.500 0.000 0.000
Re1 0.000 0.000 0.000
O1 0.500 0.500 0.500
# Relative energy among the computed polymorphs (eV/f.u.): 9.47
# Space-group type: Pm-3m

# 4
# HfReO2 (PBE, optimized geometry)
data_HfReO2
_space_group_name_H-M_alt 'P 1'
_space_group_IT_number 1
_space_group_name_Hall 'P 1'
_cell_length_a 4.039
_cell_length_b 4.039
_cell_length_c 4.039
_cell_angle_alpha 60.00
_cell_angle_beta 60.00
_cell_angle_gamma 60.00
loop_
_atom_site_label
_atom_site_fract_x
_atom_site_fract_y
_atom_site_fract_z
Hf1 0.000 0.000 0.000
Re1 0.500 0.500 0.500
O1 0.250 0.250 0.250
O2 0.750 0.750 0.750
# Relative energy among the computed polymorphs (eV/f.u.): 4.17
# Space-group type: Fm-3m

# 5
# HfReO3 (PBE, optimized geometry)
data_HfReO3
_space_group_name_H-M_alt 'P 1'
_space_group_IT_number 1
_space_group_name_Hall 'P 1'
_cell_length_a 4.072
_cell_length_b 4.072
_cell_length_c 4.072
_cell_angle_alpha 90.00
_cell_angle_beta 90.00
_cell_angle_gamma 90.00
loop_
_atom_site_label
_atom_site_fract_x
_atom_site_fract_y
_atom_site_fract_z
Hf1 0.000 0.000 0.000
Re1 0.500 0.500 0.500
O1 0.000 0.000 0.500
O2 0.000 0.500 0.000
O3 0.500 0.000 0.000
# Space-group type: Pm-3m

# 6
# Hf3ReO (PBE, optimized geometry)
data_Hf3ReO
_space_group_name_H-M_alt 'P 1'
_space_group_IT_number 1
_space_group_name_Hall 'P 1'
_cell_length_a 4.373
_cell_length_b 4.373
_cell_length_c 4.373
_cell_angle_alpha 90.00
_cell_angle_beta 90.00
_cell_angle_gamma 90.00
loop_
_atom_site_label
_atom_site_fract_x
_atom_site_fract_y
_atom_site_fract_z
Hf1 0.000 0.000 0.500
Hf2 0.000 0.500 0.000
Hf3 0.500 0.000 0.000
Re1 0.500 0.500 0.500
O1 0.000 0.000 0.000
# Relative energy among the computed polymorphs (eV/f.u.): 0.00
# Space-group type: Pm-3m

# 7
# HfReO2 (PBE, optimized geometry)
data_HfReO2
_space_group_name_H-M_alt 'P 1'
_space_group_IT_number 1
_space_group_name_Hall 'P 1'
_cell_length_a 6.959
_cell_length_b 6.959
_cell_length_c 6.959
_cell_angle_alpha 24.14
_cell_angle_beta 24.14
_cell_angle_gamma 24.14
loop_
_atom_site_label
_atom_site_fract_x
_atom_site_fract_y
_atom_site_fract_z
Hf1 0.000 0.000 0.000
Re1 0.500 0.500 0.500
O1 0.399 0.399 0.399
O2 0.601 0.601 0.601
# Relative energy among the computed polymorphs (eV/f.u.): 0.00
# Space-group type: R-3m

# 8
# HfRe3O (PBE, optimized geometry)
data_HfRe3O
_space_group_name_H-M_alt 'P 1'
_space_group_IT_number 1
_space_group_name_Hall 'P 1'
_cell_length_a 4.167
_cell_length_b 4.167
_cell_length_c 4.167
_cell_angle_alpha 90.00
_cell_angle_beta 90.00
_cell_angle_gamma 90.00
loop_
_atom_site_label
_atom_site_fract_x
_atom_site_fract_y
_atom_site_fract_z
Hf1 0.000 0.000 0.000
Re1 0.000 0.500 0.500
Re2 0.500 0.000 0.500
Re3 0.500 0.500 0.000
O1 0.500 0.500 0.500
# Relative energy among the computed polymorphs (eV/f.u.): 0.00
# Space-group type: Pm-3m

# 9
# HfReO6 (PBE, optimized geometry)
data_HfReO6
_space_group_name_H-M_alt 'P 1'
_space_group_IT_number 1
_space_group_name_Hall 'P 1'
_cell_length_a 5.574
_cell_length_b 5.574
_cell_length_c 5.574
_cell_angle_alpha 60.00
_cell_angle_beta 60.00
_cell_angle_gamma 60.00
loop_
_atom_site_label
_atom_site_fract_x
_atom_site_fract_y
_atom_site_fract_z
Hf1 0.000 0.000 0.000
Re1 0.500 0.500 0.500
O1 0.262 0.262 0.738
O2 0.262 0.738 0.262
O3 0.262 0.738 0.738
O4 0.738 0.262 0.262
O5 0.738 0.262 0.738
O6 0.738 0.738 0.262
# Space-group type: Fm-3m

# 10
# HfReO3 (PBE, optimized geometry)
data_HfReO3
_space_group_name_H-M_alt 'P 1'
_space_group_IT_number 1
_space_group_name_Hall 'P 1'
_cell_length_a 3.905
_cell_length_b 3.905
_cell_length_c 3.905
_cell_angle_alpha 90.00
_cell_angle_beta 90.00
_cell_angle_gamma 90.00
loop_
_atom_site_label
_atom_site_fract_x
_atom_site_fract_y
_atom_site_fract_z
Hf1 0.000 0.000 0.000
Re1 0.500 0.500 0.500
O1 0.000 0.500 0.500
O2 0.500 0.000 0.500
O3 0.500 0.500 0.000
# Space-group type: Pm-3m

# 11
# HfReO2 (PBE, optimized geometry)
data_HfReO2
_space_group_name_H-M_alt 'P 1'
_space_group_IT_number 1
_space_group_name_Hall 'P 1'
_cell_length_a 6.882
_cell_length_b 6.882
_cell_length_c 6.882
_cell_angle_alpha 145.74
_cell_angle_beta 145.74
_cell_angle_gamma 49.23
loop_
_atom_site_label
_atom_site_fract_x
_atom_site_fract_y
_atom_site_fract_z
Hf1 0.000 0.000 0.000
Hf2 0.750 0.250 0.500
Re1 0.250 0.750 0.500
Re2 0.500 0.500 0.000
O1 0.138 0.625 0.013
O2 0.375 0.388 0.513
O3 0.612 0.125 0.987
O4 0.875 0.862 0.487
# Relative energy among the computed polymorphs (eV/f.u.): 1.09
# Space-group type: I-42d

# 12
# Hf4ReO (PBE, optimized geometry)
data_Hf4ReO
_space_group_name_H-M_alt 'P 1'
_space_group_IT_number 1
_space_group_name_Hall 'P 1'
_cell_length_a 7.407
_cell_length_b 7.407
_cell_length_c 5.734
_cell_angle_alpha 106.89
_cell_angle_beta 106.89
_cell_angle_gamma 119.58
loop_
_atom_site_label
_atom_site_fract_x
_atom_site_fract_y
_atom_site_fract_z
Hf1 0.069 0.645 0.847
Hf2 0.208 0.303 0.705
Hf3 0.303 0.208 0.205
Hf4 0.355 0.931 0.653
Hf5 0.645 0.069 0.347
Hf6 0.697 0.792 0.795
Hf7 0.792 0.697 0.295
Hf8 0.931 0.355 0.153
Re1 0.376 0.624 0.250
Re2 0.624 0.376 0.750
O1 0.055 0.945 0.750
O2 0.945 0.055 0.250
# Space-group type: C2/c

# 13
# HfRe2SbO (PBE, optimized geometry)
data_HfRe2SbO
_space_group_name_H-M_alt 'P 1'
_space_group_IT_number 1
_space_group_name_Hall 'P 1'
_cell_length_a 4.244
_cell_length_b 4.244
_cell_length_c 4.310
_cell_angle_alpha 90.00
_cell_angle_beta 90.00
_cell_angle_gamma 90.00
loop_
_atom_site_label
_atom_site_fract_x
_atom_site_fract_y
_atom_site_fract_z
Hf1 0.000 0.000 0.000
Re1 0.000 0.500 0.500
Re2 0.500 0.000 0.500
Sb1 0.500 0.500 0.000
O1 0.000 0.000 0.500
# Space-group type: P4/mmm

Record-wise formation energy from raw total energies values, in eV/atom: -0.192; 3.257; 0.927; -0.487; -1.175; -0.967; -1.529; 0.114; -2.023; -0.850; -1.256; -0.774; -0.009
Record-wise DOS(E_F) values, in states/eV/f.u.: 3.78; 7.57; 7.44; 6.55; 1.52; 6.14; 3.39; 3.82; 4.53; 5.36; 1.55; 5.04; 5.59